Entry from Alexandria: an optimized crystal structure of Be3CrMo (PBEsol).

Results
Density in g/cm³: 4.0
Crystal system: cubic
Energy of formation from the pure elements in eV per atom: 1.444
Density of states at the Fermi level in states/eV per cell: 2.66
Space-group type: Pm-3m (221)
Final energy in eV per cell: -26.79

Cell: 4.1632 4.1632 4.1632 Å, 90.00 90.00 90.00°
Site moments in Bohr magnetons follow the coordinates.
Sites, in units of the cell vectors:
Be  0.0000  0.5000  0.0000  -0.04
Be  0.0000  0.0000  0.5000  -0.04
Cr  0.5000  0.5000  0.5000  3.41
Mo  0.0000  0.0000  0.0000  -0.40
Be  0.5000  0.0000  0.0000  -0.04